1.
## CdB3O (PBE)

Data for a relaxed CdB3O crystal.

Computed properties:
Symmetry   Pm-3m
DOS at the Fermi energy   1.68 states/eV per cell
Polymorph energy (0 for the lowest one)   841.8 meV/atom
Total magnetization   0.00 μB per formula unit

CIF file:
```
data_CdB3O
_symmetry_space_group_name_H-M 'P 1'
_symmetry_Int_Tables_number 1
_cell_length_a 4.307
_cell_length_b 4.307
_cell_length_c 4.307
_cell_angle_alpha 90.00
_cell_angle_beta 90.00
_cell_angle_gamma 90.00
loop_
_symmetry_equiv_pos_as_xyz
'x,y,z'
loop_
_atom_site_label
_atom_site_type_symbol
_atom_site_fract_x
_atom_site_fract_y
_atom_site_fract_z
_atom_site_occupancy
Cd1 Cd 0.000 0.000 0.000 1
B1 B 0.000 0.000 0.500 1
B2 B 0.000 0.500 0.000 1
B3 B 0.500 0.000 0.000 1
O1 O 0.500 0.500 0.500 1
```

***

2.
## RbAuBr2Cl6 (PBE)

Data for a relaxed RbAuBr2Cl6 crystal.

Computed properties:
Symmetry   P1
Total magnetization   0.00 μB per formula unit

CIF file:
```
data_RbAuBr2Cl6
_symmetry_space_group_name_H-M 'P 1'
_symmetry_Int_Tables_number 1
_cell_length_a 6.820
_cell_length_b 7.397
_cell_length_c 7.999
_cell_angle_alpha 77.99
_cell_angle_beta 76.19
_cell_angle_gamma 75.23
loop_
_symmetry_equiv_pos_as_xyz
'x,y,z'
loop_
_atom_site_label
_atom_site_type_symbol
_atom_site_fract_x
_atom_site_fract_y
_atom_site_fract_z
_atom_site_occupancy
Rb1 Rb 0.000 0.000 0.000 1
Au1 Au 0.410 0.902 0.491 1
Br1 Br 0.002 0.481 0.647 1
Br2 Br 0.770 0.565 0.181 1
Cl1 Cl 0.093 0.393 0.134 1
Cl2 Cl 0.252 0.686 0.702 1
Cl3 Cl 0.369 0.768 0.265 1
Cl4 Cl 0.459 0.027 0.717 1
Cl5 Cl 0.562 0.126 0.290 1
Cl6 Cl 0.798 0.285 0.654 1
```

***

Number 1: E_form (uncorrected) 2584 meV per atom. Number 2: E_form (uncorrected) -535 meV per atom.